1.
Compound: SrBeMo2
Source: the Alexandria database
Functional: PBE
Structure: relaxed

The structure in extended XYZ format:
```
4
Lattice="-1.011 -2.226 -5.512 -3.223 -2.983 -4.133 -2.739 2.976 -2.759" Properties=species:S:1:pos:R:3 pbc="T T T"
Be -1.743 -0.558 -3.101
Sr -5.230 -1.674 -9.303
Mo -4.166 -4.783 -9.302
Mo -3.554 -1.543 -6.544
```

## Properties
Total magnetic moment in μB per atom: 0.000
Space group: C2/m


2.
Compound: SrBeMo2
Source: the Alexandria database
Functional: PBE
Structure: relaxed

The structure in extended XYZ format:
```
4
Lattice="-1.781 3.611 3.944 -3.523 -1.896 -3.970 -0.672 -2.055 1.578" Properties=species:S:1:pos:R:3 pbc="T T T"
Sr -1.227 0.778 2.761
Mo 0.000 0.000 0.000
Mo -2.652 0.857 -0.013
Be -2.098 -1.975 -1.196
```

## Properties
Total magnetic moment in μB per atom: 0.000
Space group: Cmmm


3.
Compound: SrBeMo
Source: the Alexandria database
Functional: PBE
Structure: relaxed

The structure in extended XYZ format:
```
3
Lattice="6.064 -0.337 0.346 5.337 2.894 0.383 0.727 0.127 3.228" Properties=species:S:1:pos:R:3 pbc="T T T"
Be 10.747 2.408 0.882
Mo 4.911 1.079 2.249
Sr 7.872 1.754 1.556
```

## Properties
Total magnetic moment in μB per atom: 0.054
Space group: I4mm


4.
Compound: SrBeMo2
Source: the Alexandria database
Functional: PBE
Structure: relaxed

The structure in extended XYZ format:
```
4
Lattice="-1.063 2.283 -1.219 -2.542 -1.142 0.243 -0.949 3.800 7.947" Properties=species:S:1:pos:R:3 pbc="T T T"
Mo -0.881 3.528 7.377
Mo -0.543 2.173 4.543
Sr -2.040 1.520 1.499
Be -2.515 3.421 5.472
```

## Properties
Total magnetic moment in μB per atom: 0.000
Space group: Cmmm


5.
Compound: SrBeMo2
Source: the Alexandria database
Functional: PBE
Structure: relaxed

The structure in extended XYZ format:
```
4
Lattice="4.857 0.000 0.000 0.000 3.913 0.000 0.000 0.000 3.913" Properties=species:S:1:pos:R:3 pbc="T T T"
Mo 0.000 1.957 1.957
Sr 2.429 1.957 0.000
Mo 0.000 0.000 0.000
Be 2.429 0.000 1.957
```

## Properties
Total magnetic moment in μB per atom: 0.000
Space group: P4/mmm


6.
Compound: Ta2BeMo
Source: the Alexandria database
Functional: PBE
Structure: relaxed

The structure in extended XYZ format:
```
4
Lattice="3.231 0.000 0.000 0.000 3.231 0.000 0.000 0.000 5.923" Properties=species:S:1:pos:R:3 pbc="T T T"
Be 1.615 1.615 1.481
Ta 0.000 0.000 2.895
Ta 0.000 0.000 0.067
Mo 1.615 1.615 4.442
```

## Properties
Total magnetic moment in μB per atom: 0.000
Space group: P4/mmm


no.,energy relative to the elements (kcal/mol of atoms)
1,17.68
2,26.96
3,15.68
4,16.43
5,25.67
6,-1.61